# ZnPd3 GGA-PBEsol optimized geometry
# V in Å³/cell: 113.5
# Total moment in μB per cell: 0.00
# E_form in kJ/mol of formula units: -118
# SG: P6_3/mmc, No. 194
# Final energy in eV per cell: -41.355
# Fermi-level density of states in states/eV per atom: 1.312
data_ZnPd3
_cell_length_a 4.416
_cell_length_b 5.447
_cell_length_c 5.447
_cell_angle_alpha 120.00
_cell_angle_beta 90.00
_cell_angle_gamma 90.00
_space_group_name_H-M_alt 'P 1'
_space_group_IT_number 1
loop_
_space_group_symop_operation_xyz
'x,y,z'
loop_
_atom_site_label
_atom_site_type_symbol
_atom_site_fract_x
_atom_site_fract_y
_atom_site_fract_z
Zn1 Zn 0.750 0.333 0.667
Zn2 Zn 0.250 0.667 0.333
Pd1 Pd 0.750 0.832 0.664
Pd2 Pd 0.750 0.336 0.168
Pd3 Pd 0.250 0.664 0.832
Pd4 Pd 0.750 0.832 0.168
Pd5 Pd 0.250 0.168 0.832
Pd6 Pd 0.250 0.168 0.336